A relaxed structure of LaPrNi2Sn. Source: OQMD via LeMat-Bulk, functional PBE.

Values from the calculation:
The value obtained for the total energy is -5.501 eV per atom. The theoretical density is 7.77 g cm⁻³.

```
data_LaPrNi2Sn
_cell_length_a 4.388
_cell_length_b 5.796
_cell_length_c 8.667
_cell_angle_alpha 90.00
_cell_angle_beta 90.00
_cell_angle_gamma 90.00
_symmetry_space_group_name_H-M 'I m m 2'
_symmetry_Int_Tables_number 44
loop_
_symmetry_equiv_pos_as_xyz
'x,y,z'
'-x,-y,z'
'-x,y,z'
'x,-y,z'
'x+1/2,y+1/2,z+1/2'
'-x+1/2,-y+1/2,z+1/2'
'-x+1/2,y+1/2,z+1/2'
'x+1/2,-y+1/2,z+1/2'
loop_
_atom_site_label
_atom_site_type_symbol
_atom_site_fract_x
_atom_site_fract_y
_atom_site_fract_z
La1 La 0.000 0.000 0.000
Pr1 Pr 0.000 0.000 0.407
Ni1 Ni 0.000 0.289 0.704
Sn1 Sn 0.000 0.500 0.203
```